Record 1
# GGA-PBEsol Fe3Mo, optimized geometry
data_Fe3Mo
_space_group_name_H-M_alt 'P 1'
_space_group_IT_number 1
_cell_length_a 4.584
_cell_length_b 4.584
_cell_length_c 4.584
_cell_angle_alpha 90.00
_cell_angle_beta 90.00
_cell_angle_gamma 90.00
loop_
_space_group_symop_operation_xyz
'x,y,z'
loop_
_atom_site_label
_atom_site_type_symbol
_atom_site_fract_x
_atom_site_fract_y
_atom_site_fract_z
Fe1 Fe 0.000 0.250 0.500
Fe2 Fe 0.000 0.750 0.500
Fe3 Fe 0.250 0.500 0.000
Fe4 Fe 0.500 0.000 0.250
Fe5 Fe 0.500 0.000 0.750
Fe6 Fe 0.750 0.500 0.000
Mo1 Mo 0.000 0.000 0.000
Mo2 Mo 0.500 0.500 0.500
# E_form	0.08	eV per atom

Record 2
# GGA-PBEsol Fe3Mo, optimized geometry
data_Fe3Mo
_space_group_name_H-M_alt 'P 1'
_space_group_IT_number 1
_cell_length_a 5.045
_cell_length_b 5.045
_cell_length_c 4.046
_cell_angle_alpha 90.00
_cell_angle_beta 90.00
_cell_angle_gamma 120.00
loop_
_space_group_symop_operation_xyz
'x,y,z'
loop_
_atom_site_label
_atom_site_type_symbol
_atom_site_fract_x
_atom_site_fract_y
_atom_site_fract_z
Fe1 Fe 0.161 0.321 0.250
Fe2 Fe 0.161 0.839 0.250
Fe3 Fe 0.321 0.161 0.750
Fe4 Fe 0.679 0.839 0.250
Fe5 Fe 0.839 0.161 0.750
Fe6 Fe 0.839 0.679 0.750
Mo1 Mo 0.333 0.667 0.750
Mo2 Mo 0.667 0.333 0.250
# E_form	0.01	eV per atom

Record 3
# GGA-PBEsol Fe3Mo, optimized geometry
data_Fe3Mo
_space_group_name_H-M_alt 'P 1'
_space_group_IT_number 1
_cell_length_a 3.554
_cell_length_b 3.554
_cell_length_c 3.554
_cell_angle_alpha 90.00
_cell_angle_beta 90.00
_cell_angle_gamma 90.00
loop_
_space_group_symop_operation_xyz
'x,y,z'
loop_
_atom_site_label
_atom_site_type_symbol
_atom_site_fract_x
_atom_site_fract_y
_atom_site_fract_z
Fe1 Fe 0.000 0.000 0.500
Fe2 Fe 0.000 0.500 0.000
Fe3 Fe 0.500 0.000 0.000
Mo1 Mo 0.500 0.500 0.500
# E_form	0.04	eV per atom

Record 4
# GGA-PBEsol FeMo3, optimized geometry
data_FeMo3
_space_group_name_H-M_alt 'P 1'
_space_group_IT_number 1
_cell_length_a 2.534
_cell_length_b 4.216
_cell_length_c 5.420
_cell_angle_alpha 90.00
_cell_angle_beta 90.00
_cell_angle_gamma 90.00
loop_
_space_group_symop_operation_xyz
'x,y,z'
loop_
_atom_site_label
_atom_site_type_symbol
_atom_site_fract_x
_atom_site_fract_y
_atom_site_fract_z
Fe1 Fe 0.000 0.000 0.000
Mo1 Mo 0.000 0.000 0.500
Mo2 Mo 0.500 0.500 0.239
Mo3 Mo 0.500 0.500 0.761
# E_form	0.33	eV per atom

Record 5
# GGA-PBEsol Fe3Mo4, optimized geometry
data_Fe3Mo4
_space_group_name_H-M_alt 'P 1'
_space_group_IT_number 1
_cell_length_a 4.704
_cell_length_b 4.704
_cell_length_c 4.764
_cell_angle_alpha 90.00
_cell_angle_beta 90.00
_cell_angle_gamma 120.00
loop_
_space_group_symop_operation_xyz
'x,y,z'
loop_
_atom_site_label
_atom_site_type_symbol
_atom_site_fract_x
_atom_site_fract_y
_atom_site_fract_z
Fe1 Fe 0.000 0.500 0.000
Fe2 Fe 0.500 0.000 0.000
Fe3 Fe 0.500 0.500 0.000
Mo1 Mo 0.000 0.000 0.253
Mo2 Mo 0.000 0.000 0.747
Mo3 Mo 0.333 0.667 0.500
Mo4 Mo 0.667 0.333 0.500
# E_form	0.00	eV per atom

Record 6
# GGA-PBEsol Fe3Mo, optimized geometry
data_Fe3Mo
_space_group_name_H-M_alt 'P 1'
_space_group_IT_number 1
_cell_length_a 2.517
_cell_length_b 4.051
_cell_length_c 4.794
_cell_angle_alpha 90.00
_cell_angle_beta 100.85
_cell_angle_gamma 90.00
loop_
_space_group_symop_operation_xyz
'x,y,z'
loop_
_atom_site_label
_atom_site_type_symbol
_atom_site_fract_x
_atom_site_fract_y
_atom_site_fract_z
Fe1 Fe 0.000 0.000 0.000
Fe2 Fe 0.244 0.500 0.760
Fe3 Fe 0.756 0.500 0.240
Mo1 Mo 0.500 0.000 0.500
# E_form	0.09	eV per atom

Record 7
# GGA-PBEsol Fe3Mo, optimized geometry
data_Fe3Mo
_space_group_name_H-M_alt 'P 1'
_space_group_IT_number 1
_cell_length_a 4.730
_cell_length_b 4.730
_cell_length_c 4.730
_cell_angle_alpha 143.51
_cell_angle_beta 130.08
_cell_angle_gamma 63.40
loop_
_space_group_symop_operation_xyz
'x,y,z'
loop_
_atom_site_label
_atom_site_type_symbol
_atom_site_fract_x
_atom_site_fract_y
_atom_site_fract_z
Fe1 Fe 0.000 0.000 0.000
Fe2 Fe 0.247 0.747 0.500
Fe3 Fe 0.753 0.253 0.500
Mo1 Mo 0.500 0.500 0.000
# E_form	0.08	eV per atom

Record 8
# GGA-PBEsol Fe3Mo3N, optimized geometry
data_Fe3Mo3N
_space_group_name_H-M_alt 'P 1'
_space_group_IT_number 1
_cell_length_a 7.685
_cell_length_b 7.685
_cell_length_c 7.685
_cell_angle_alpha 60.00
_cell_angle_beta 60.00
_cell_angle_gamma 60.00
loop_
_space_group_symop_operation_xyz
'x,y,z'
loop_
_atom_site_label
_atom_site_type_symbol
_atom_site_fract_x
_atom_site_fract_y
_atom_site_fract_z
Fe1 Fe 0.000 0.000 0.000
Fe2 Fe 0.000 0.000 0.500
Fe3 Fe 0.000 0.500 0.000
Fe4 Fe 0.105 0.798 0.798
Fe5 Fe 0.202 0.202 0.202
Fe6 Fe 0.202 0.202 0.895
Fe7 Fe 0.202 0.895 0.202
Fe8 Fe 0.500 0.000 0.000
Fe9 Fe 0.798 0.105 0.798
Fe10 Fe 0.798 0.798 0.105
Fe11 Fe 0.798 0.798 0.798
Fe12 Fe 0.895 0.202 0.202
Mo1 Mo 0.171 0.171 0.579
Mo2 Mo 0.171 0.579 0.171
Mo3 Mo 0.171 0.579 0.579
Mo4 Mo 0.421 0.421 0.829
Mo5 Mo 0.421 0.829 0.421
Mo6 Mo 0.421 0.829 0.829
Mo7 Mo 0.579 0.171 0.171
Mo8 Mo 0.579 0.171 0.579
Mo9 Mo 0.579 0.579 0.171
Mo10 Mo 0.829 0.421 0.421
Mo11 Mo 0.829 0.421 0.829
Mo12 Mo 0.829 0.829 0.421
N1 N 0.000 0.500 0.500
N2 N 0.500 0.000 0.500
N3 N 0.500 0.500 0.000
N4 N 0.500 0.500 0.500
# uncorrected formation energy	-0.2637	eV/atom

Record 9
# GGA-PBEsol FeMoN2, optimized geometry
data_FeMoN2
_space_group_name_H-M_alt 'P 1'
_space_group_IT_number 1
_cell_length_a 6.238
_cell_length_b 6.238
_cell_length_c 6.238
_cell_angle_alpha 26.11
_cell_angle_beta 26.11
_cell_angle_gamma 26.11
loop_
_space_group_symop_operation_xyz
'x,y,z'
loop_
_atom_site_label
_atom_site_type_symbol
_atom_site_fract_x
_atom_site_fract_y
_atom_site_fract_z
Fe1 Fe 0.000 0.000 0.000
Mo1 Mo 0.500 0.500 0.500
N1 N 0.392 0.392 0.392
N2 N 0.608 0.608 0.608
# uncorrected formation energy	0.2659	eV/atom

Record 10
# GGA-PBEsol FeMoN2, optimized geometry
data_FeMoN2
_space_group_name_H-M_alt 'P 1'
_space_group_IT_number 1
_cell_length_a 3.641
_cell_length_b 3.641
_cell_length_c 3.641
_cell_angle_alpha 60.00
_cell_angle_beta 60.00
_cell_angle_gamma 60.00
loop_
_space_group_symop_operation_xyz
'x,y,z'
loop_
_atom_site_label
_atom_site_type_symbol
_atom_site_fract_x
_atom_site_fract_y
_atom_site_fract_z
Fe1 Fe 0.000 0.000 0.000
Mo1 Mo 0.500 0.500 0.500
N1 N 0.250 0.250 0.250
N2 N 0.750 0.750 0.750
# uncorrected formation energy	0.2165	eV/atom

Record 11
# GGA-PBEsol FeNiMo3N, optimized geometry
data_FeNiMo3N
_space_group_name_H-M_alt 'P 1'
_space_group_IT_number 1
_cell_length_a 6.596
_cell_length_b 6.596
_cell_length_c 6.596
_cell_angle_alpha 90.00
_cell_angle_beta 90.00
_cell_angle_gamma 90.00
loop_
_space_group_symop_operation_xyz
'x,y,z'
loop_
_atom_site_label
_atom_site_type_symbol
_atom_site_fract_x
_atom_site_fract_y
_atom_site_fract_z
Fe1 Fe 0.178 0.178 0.178
Fe2 Fe 0.322 0.822 0.678
Fe3 Fe 0.678 0.322 0.822
Fe4 Fe 0.822 0.678 0.322
Ni1 Ni 0.066 0.934 0.434
Ni2 Ni 0.434 0.066 0.934
Ni3 Ni 0.566 0.566 0.566
Ni4 Ni 0.934 0.434 0.066
Mo1 Mo 0.046 0.129 0.800
Mo2 Mo 0.129 0.800 0.046
Mo3 Mo 0.200 0.546 0.371
Mo4 Mo 0.300 0.454 0.871
Mo5 Mo 0.371 0.200 0.546
Mo6 Mo 0.454 0.871 0.300
Mo7 Mo 0.546 0.371 0.200
Mo8 Mo 0.629 0.700 0.954
Mo9 Mo 0.700 0.954 0.629
Mo10 Mo 0.800 0.046 0.129
Mo11 Mo 0.871 0.300 0.454
Mo12 Mo 0.954 0.629 0.700
N1 N 0.124 0.376 0.624
N2 N 0.376 0.624 0.124
N3 N 0.624 0.124 0.376
N4 N 0.876 0.876 0.876
# uncorrected formation energy	-0.2992	eV/atom

Record 12
# GGA-PBEsol Sr2FeMoNO5, optimized geometry
data_Sr2FeMoNO5
_space_group_name_H-M_alt 'P 1'
_space_group_IT_number 1
_cell_length_a 5.422
_cell_length_b 5.422
_cell_length_c 5.422
_cell_angle_alpha 119.77
_cell_angle_beta 119.77
_cell_angle_gamma 90.41
loop_
_space_group_symop_operation_xyz
'x,y,z'
loop_
_atom_site_label
_atom_site_type_symbol
_atom_site_fract_x
_atom_site_fract_y
_atom_site_fract_z
Sr1 Sr 0.000 0.500 0.500
Sr2 Sr 0.500 0.000 0.500
Fe1 Fe 0.260 0.260 0.000
Mo1 Mo 0.738 0.738 0.000
N1 N 0.501 0.501 0.000
O1 O 0.009 0.009 0.000
O2 O 0.010 0.010 0.506
O3 O 0.010 0.505 0.000
O4 O 0.505 0.010 0.000
O5 O 0.505 0.505 0.494
# uncorrected formation energy	-2.0618	eV/atom